Entry 1:
ZrTiMnRe: relaxed, GGA-PBE.

* energy of formation from the pure elements: -0.17 eV/atom
* energy: -0.71162 Ry/atom
* SG: F-43m

a = 4.491 Å, b = 4.491 Å, c = 4.491 Å
α = 60.00°, β = 60.00°, γ = 60.00°
Each line ends with the local moment (μB).
Fractional coordinates of all 4 atoms:
Mn: 0.500 0.500 0.500  1.64
Ti: 0.250 0.250 0.250  -0.34
Zr: 0.750 0.750 0.750  -0.14
Re: 0.000 0.000 0.000  0.18

=====

Entry 2:
Ac3Zn4Pd2: relaxed, GGA-PBE.

* energy of formation from the pure elements: -0.55 eV/atom
* energy: -0.26737 Ry/atom
* SG: C2/m

a = 4.543 Å, b = 6.209 Å, c = 8.958 Å
α = 106.16°, β = 90.00°, γ = 111.46°
Fractional coordinates of all 9 atoms:
Zn: 0.276 0.552 0.944
Zn: 0.724 0.448 0.056
Zn: 0.954 0.908 0.618
Zn: 0.046 0.092 0.382
Ac: 0.325 0.651 0.340
Ac: 0.675 0.349 0.660
Ac: 0.000 0.000 0.000
Pd: 0.608 0.216 0.274
Pd: 0.392 0.784 0.726

=====

Entry 3:
Ce4Ge4Os: relaxed, GGA-PBE.

* energy of formation from the pure elements: -0.29 eV/atom
* energy: -0.45804 Ry/atom
* SG: I4/m

a = 5.916 Å, b = 6.791 Å, c = 6.791 Å
α = 79.06°, β = 64.18°, γ = 64.18°
Fractional coordinates of all 9 atoms:
Os: 0.000 0.000 0.000
Ge: 0.277 0.637 0.808
Ge: 0.723 0.363 0.192
Ge: 0.086 0.192 0.637
Ge: 0.914 0.808 0.363
Ce: 0.779 0.640 0.801
Ce: 0.580 0.199 0.640
Ce: 0.221 0.360 0.199
Ce: 0.420 0.801 0.360

=====

Entry 4:
Nd2GaNi5Rh2: relaxed, GGA-PBE.

* energy of formation from the pure elements: -0.23 eV/atom
* energy: -0.42978 Ry/atom
* SG: P4/mbm

a = 3.728 Å, b = 9.315 Å, c = 9.315 Å
α = 90.00°, β = 90.00°, γ = 90.00°
Fractional coordinates of all 20 atoms:
Nd: 0.000 0.829 0.671
Nd: 0.000 0.329 0.829
Nd: 0.000 0.171 0.329
Nd: 0.000 0.671 0.171
Ni: 0.500 0.443 0.313
Ni: 0.500 0.187 0.057
Ni: 0.500 0.943 0.187
Ni: 0.500 0.557 0.687
Ni: 0.500 0.813 0.943
Ni: 0.500 0.500 0.000
Ni: 0.500 0.313 0.557
Ni: 0.500 0.000 0.500
Ni: 0.500 0.057 0.813
Ni: 0.500 0.687 0.443
Ga: 0.000 0.500 0.500
Ga: 0.000 0.000 0.000
Rh: 0.000 0.370 0.130
Rh: 0.000 0.630 0.870
Rh: 0.000 0.870 0.370
Rh: 0.000 0.130 0.630